(1)
A crystal of KCaNiF2 relaxed with PBEsol, computed with SCAN.

Cell: 4.3370 4.3370 9.2957 Å, 90.00 90.00 90.00°
Closest atoms and distances in Å follow each position.
Positions (direct):
K (0.0000, 0.0000, 0.0000)  4 Ni 3.07
Ca (0.0000, 0.0000, 0.5000)  4 F 2.17
Ni (0.5000, 0.5000, 0.0000)  4 K 3.07
F (0.0000, 0.5000, 0.5000)  2 Ca 2.17
F (0.5000, 0.0000, 0.5000)  2 Ca 2.17

Values from the calculation:
As for the uncorrected formation energy: -8.2 eV per formula unit. Its total energy is -9.892 eV per atom.

***

(2)
A crystal of KCaTlF2 relaxed with PBEsol, computed with SCAN.

Cell: 5.2029 5.2029 5.9043 Å, 90.00 90.00 90.00°
Closest atoms and distances in Å follow each position.
Positions (direct):
K (0.0000, 0.0000, 0.0000)  4 Ca 3.68, 8 F 3.93
Ca (0.5000, 0.5000, 0.0000)  2 Tl 2.95
Tl (0.5000, 0.5000, 0.5000)  4 F 2.60
F (0.0000, 0.5000, 0.5000)  2 Tl 2.60
F (0.5000, 0.0000, 0.5000)  2 Tl 2.60

Values from the calculation:
As for the uncorrected formation energy: -5.1 eV per formula unit. Its total energy is -20.514 eV per atom.

***

(3)
A crystal of CaLaF2 relaxed with PBEsol, computed with SCAN.

Cell: 4.6337 4.6337 4.6337 Å, 60.00 60.00 60.00°
Closest atoms and distances in Å follow each position.
Positions (direct):
Ca (0.0000, 0.0000, 0.0000)  8 F 2.84
La (0.5000, 0.5000, 0.5000)  8 F 2.84
F (0.2500, 0.2500, 0.2500)  4 La 2.84, 4 Ca 2.84
F (0.7500, 0.7500, 0.7500)  4 Ca 2.84, 4 La 2.84

Values from the calculation:
As for the uncorrected formation energy: -7.7 eV per formula unit. Its total energy is -16.895 eV per atom.